Entry 1:
Material: Li8Hg2Pb3
Method: DFT, PBE
State: optimized geometry

Cell: 5.6593 5.6593 10.4849 Å, 74.34 74.34 60.00°
With the nearest neighbours (Å) after each atom.
Fractional coordinates of all 13 atoms:
Hg 0.3711 0.3711 0.8868  4 Li 2.65-2.69
Hg 0.6289 0.6289 0.1132  4 Li 2.65-2.69
Pb 0.0000 0.0000 0.0000  6 Hg 3.46, 12 Li 3.57-3.62
Pb 0.1856 0.1856 0.4432  10 Li 2.85-3.08
Pb 0.8144 0.8144 0.5568  10 Li 2.85-3.08
Li 0.2810 0.2810 0.1571  1 Hg 2.69, 1 Pb 2.85
Li 0.2194 0.7302 0.3202  1 Hg 2.65, 4 Li 2.77-2.89, 1 Pb 2.85
Li 0.7302 0.2194 0.3202  1 Hg 2.65, 4 Li 2.77-2.89, 1 Pb 2.85
Li 0.7806 0.2698 0.6798  1 Hg 2.65, 4 Li 2.77-2.89, 1 Pb 2.85
Li 0.2698 0.7806 0.6798  1 Hg 2.65, 4 Li 2.77-2.89, 1 Pb 2.85
Li 0.2698 0.2698 0.6798  1 Hg 2.65, 4 Li 2.77-2.89, 1 Pb 2.85
Li 0.7302 0.7302 0.3202  1 Hg 2.65, 4 Li 2.77-2.89, 1 Pb 2.85
Li 0.7190 0.7190 0.8429  1 Hg 2.69, 1 Pb 2.85

Calculated values
DFT formation energy, eV per atom: -0.205

---

Entry 2:
Material: CaMg2Rh2
Method: DFT, PBE
State: optimized geometry

Cell: 4.4477 4.4477 10.8694 Å, 101.81 101.81 90.00°
With the nearest neighbours (Å) after each atom.
Fractional coordinates of all 10 atoms:
Ca 0.3600 0.3600 0.7200  8 Rh 3.19-3.49, 5 Mg 3.31-3.54
Ca 0.6400 0.6400 0.2799  8 Rh 3.19-3.49, 5 Mg 3.31-3.54
Rh 0.9331 0.9331 0.8662  5 Mg 2.56-2.62, 1 Rh 2.78
Rh 0.0669 0.0669 0.1338  5 Mg 2.56-2.62, 1 Rh 2.78
Rh 0.2500 0.7500 0.5000  4 Mg 2.55
Rh 0.7500 0.2500 0.5000  4 Mg 2.55
Mg 0.5000 0.0000 0.0000  4 Rh 2.62
Mg 0.8103 0.8103 0.6206  5 Rh 2.55-2.56
Mg 0.0000 0.5000 0.0000  4 Rh 2.62
Mg 0.1897 0.1897 0.3794  5 Rh 2.55-2.56

Calculated values
DFT formation energy, eV per atom: -0.300

---

Entry 3:
Material: CeNd3C8
Method: DFT, PBE
State: optimized geometry

Cell: 6.4490 6.4542 6.4498 Å, 68.07 75.37 111.92°
With the nearest neighbours (Å) after each atom.
Fractional coordinates of all 12 atoms:
Ce 0.9995 0.0000 0.0004  4 C 2.46
Nd 0.2494 0.5000 0.2506  8 C 2.71-2.72
Nd 0.7494 0.5000 0.7506  8 C 2.71-2.72
Nd 0.4999 0.0000 0.5001  8 C 2.62-2.70
C 0.4008 0.0000 0.1311  1 C 1.30
C 0.6076 0.6749 0.3925  1 C 1.30
C 0.5998 0.4683 0.4002  1 C 1.30
C 0.9327 0.3251 0.0674  1 C 1.30
C 0.3929 0.0000 0.9323  1 C 1.30
C 0.8689 0.0000 0.5992  1 C 1.30
C 0.0678 0.0000 0.6070  1 C 1.30
C 0.1315 0.5317 0.8686  1 C 1.30

Calculated values
DFT formation energy, eV per atom: 0.166

---

Entry 4:
Material: Zr2BeTe
Method: DFT, PBE
State: optimized geometry

Cell: 4.0600 4.3942 4.3942 Å, 90.00 90.00 90.00°
With the nearest neighbours (Å) after each atom.
Fractional coordinates of all 4 atoms:
Zr 0.0000 0.0000 0.0000  4 Te 2.99, 4 Be 2.99, 4 Zr 3.11
Zr 0.0000 0.5000 0.5000  4 Be 2.99, 4 Te 2.99, 4 Zr 3.11
Te 0.5000 0.0000 0.5000  8 Zr 2.99, 4 Be 3.11
Be 0.5000 0.5000 0.0000  8 Zr 2.99, 4 Te 3.11

Calculated values
Raw formation energy, kJ/mol of atoms: -10.0

---

Entry 5:
Material: Cs3NaNi2Cl9
Method: DFT, PBE
State: optimized geometry

Cell: 7.1971 7.1971 8.9248 Å, 90.00 90.00 120.00°
With the nearest neighbours (Å) after each atom.
Fractional coordinates of all 15 atoms:
Cl 0.8198 0.6395 0.6915  1 Ni 2.31
Cl 0.5000 0.0000 0.0000  2 Ni 2.54
Cl 0.1802 0.8198 0.3085  1 Ni 2.31
Cl 0.3605 0.1802 0.6915  1 Ni 2.31
Cl 0.6395 0.8198 0.3085  1 Ni 2.31
Cl 0.5000 0.5000 0.0000  2 Ni 2.54
Cl 0.1802 0.3605 0.3085  1 Ni 2.31
Cl 0.8198 0.1802 0.6915  1 Ni 2.31
Cl 0.0000 0.5000 0.0000  2 Ni 2.54
Ni 0.6667 0.3333 0.8371  6 Cl 2.31-2.54
Ni 0.3333 0.6667 0.1629  6 Cl 2.31-2.54
Cs 0.6667 0.3333 0.3329  12 Cl 3.61-3.73
Cs 0.3333 0.6667 0.6671  12 Cl 3.61-3.73
Cs 0.0000 0.0000 0.0000  12 Cl 3.55-3.60
Na 0.0000 0.0000 0.5000  6 Cl 2.82

Calculated values
Raw formation energy, kJ/mol of atoms: -121.0

---

Entry 6:
Material: DyBiPtRh
Method: DFT, PBE
State: optimized geometry

Cell: 4.8757 4.8757 4.8757 Å, 60.00 60.00 60.00°
With the nearest neighbours (Å) after each atom.
Fractional coordinates of all 4 atoms:
Bi 0.5000 0.5000 0.5000  4 Rh 2.99, 4 Pt 2.99
Dy 0.0000 0.0000 0.0000  4 Rh 2.99, 4 Pt 2.99
Pt 0.7500 0.7500 0.7500  4 Dy 2.99, 4 Bi 2.99
Rh 0.2500 0.2500 0.2500  4 Dy 2.99, 4 Bi 2.99

Calculated values
DFT formation energy, eV per atom: -0.625

---

Entry 7:
Material: Ti2Al2Ge
Method: DFT, PBE
State: optimized geometry

Cell: 3.6185 3.6185 7.1772 Å, 75.40 75.40 90.00°
With the nearest neighbours (Å) after each atom.
Fractional coordinates of all 5 atoms:
Al 0.2500 0.7500 0.5000  4 Al 2.56, 4 Ti 2.81
Al 0.7500 0.2500 0.5000  4 Al 2.56, 4 Ti 2.81
Ge 0.0000 0.0000 0.0000  8 Ti 2.83
Ti 0.5895 0.5895 0.8210  1 Ti 2.40
Ti 0.4105 0.4105 0.1790  1 Ti 2.40

Calculated values
DFT formation energy, eV per atom: -0.014

---

Entry 8:
Material: SrY4Cl
Method: DFT, PBE
State: optimized geometry

Cell: 6.8564 6.8564 6.8564 Å, 60.00 60.00 60.00°
With the nearest neighbours (Å) after each atom.
Fractional coordinates of all 6 atoms:
Y 0.3733 0.8802 0.3733  6 Y 3.38-3.48
Y 0.3733 0.3733 0.3733  6 Y 3.38-3.48
Y 0.8802 0.3733 0.3733  6 Y 3.38-3.48
Y 0.3733 0.3733 0.8802  6 Y 3.38-3.48
Cl 0.7500 0.7500 0.7500  12 Y 4.03, 4 Sr 4.20
Sr 0.0000 0.0000 0.0000  12 Y 4.01, 4 Cl 4.20

Calculated values
Raw formation energy, kJ/mol of atoms: 25.9

---

Entry 9:
Material: Hf8OsPb2
Method: DFT, PBE
State: optimized geometry

Cell: 4.7691 5.8965 9.6501 Å, 107.76 104.31 90.00°
With the nearest neighbours (Å) after each atom.
Fractional coordinates of all 11 atoms:
Hf 0.7675 0.6477 0.5350  4 Hf 2.90-3.10, 4 Pb 2.98-3.19
Hf 0.9774 0.2267 0.9548  2 Os 2.83, 1 Pb 2.96, 4 Hf 3.05-3.15
Hf 0.6452 0.0568 0.2904  1 Os 2.63
Hf 0.2325 0.3523 0.4650  4 Hf 2.90-3.10, 4 Pb 2.98-3.19
Hf 0.3548 0.9432 0.7096  1 Os 2.63
Hf 0.5809 0.4875 0.1619  1 Os 2.80, 1 Hf 3.08
Hf 0.4191 0.5125 0.8381  1 Os 2.80, 1 Hf 3.08
Hf 0.0226 0.7733 0.0452  2 Os 2.83, 1 Pb 2.96, 4 Hf 3.05-3.15
Os 0.5000 0.0000 0.0000  8 Hf 2.63-2.83
Pb 0.8182 0.2169 0.6364  10 Hf 2.96-3.20
Pb 0.1818 0.7831 0.3636  10 Hf 2.96-3.20

Calculated values
DFT formation energy, eV per atom: -0.007

---

Entry 10:
Material: Dy3HoPb2
Method: DFT, PBE
State: optimized geometry

Cell: 7.2734 7.6238 9.0023 Å, 115.05 113.83 90.00°
With the nearest neighbours (Å) after each atom.
Fractional coordinates of all 12 atoms:
Dy 0.7924 0.0424 0.5848  4 Pb 3.16-3.17
Dy 0.2076 0.9576 0.4152  4 Pb 3.16-3.17
Dy 0.5000 0.7500 0.0000  4 Pb 3.11
Dy 0.7924 0.5424 0.5848  4 Pb 3.16-3.17
Dy 0.2076 0.4576 0.4152  4 Pb 3.16-3.17
Dy 0.5000 0.2500 0.0000  4 Pb 3.11
Pb 0.5331 0.3567 0.7133  6 Dy 3.11-3.17, 1 Ho 3.15
Pb 0.4669 0.6433 0.2867  6 Dy 3.11-3.17, 1 Ho 3.15
Pb 0.8198 0.1433 0.2867  6 Dy 3.11-3.17, 1 Ho 3.15
Pb 0.1802 0.8567 0.7133  6 Dy 3.11-3.17, 1 Ho 3.15
Ho 0.0000 0.0000 0.0000  2 Pb 3.15
Ho 0.0000 0.5000 0.0000  2 Pb 3.15

Calculated values
DFT formation energy, eV per atom: -0.141

---

Entry 11:
Material: TiTe2S
Method: DFT, PBE
State: optimized geometry

Cell: 9.5876 9.5876 9.5876 Å, 21.05 21.05 21.05°
With the nearest neighbours (Å) after each atom.
Fractional coordinates of all 4 atoms:
Te 0.9055 0.9055 0.9055  1 Ti 2.66, 3 S 2.86
Te 0.0945 0.0945 0.0945  1 Ti 2.66, 3 S 2.86
S 0.5000 0.5000 0.5000  6 Te 2.86
Ti 0.0000 0.0000 0.0000  2 Te 2.66

Calculated values
Raw formation energy, kJ/mol of atoms: 53.9

---

Entry 12:
Material: LaNd4Sn15
Method: DFT, PBE
State: optimized geometry

Cell: 4.7260 4.7260 24.4936 Å, 90.00 90.00 90.00°
With the nearest neighbours (Å) after each atom.
Fractional coordinates of all 20 atoms:
Sn 0.5000 0.0000 0.5000  8 Sn 3.34-3.40, 4 Nd 3.40
Sn 0.0000 0.5000 0.1009  8 Sn 3.34-3.42, 2 Nd 3.39, 2 La 3.42
Sn 0.5000 0.5000 0.2005  4 Nd 3.34, 8 Sn 3.40
Sn 0.5000 0.5000 0.0000  4 La 3.34, 8 Sn 3.42
Sn 0.5000 0.0000 0.1009  8 Sn 3.34-3.42, 2 Nd 3.39, 2 La 3.42
Sn 0.0000 0.5000 0.6996  8 Sn 3.34-3.40, 4 Nd 3.40-3.41
Sn 0.5000 0.0000 0.3004  8 Sn 3.34-3.40, 4 Nd 3.40-3.41
Sn 0.5000 0.5000 0.6000  4 Nd 3.34, 8 Sn 3.40
Sn 0.0000 0.5000 0.8991  8 Sn 3.34-3.42, 2 Nd 3.39, 2 La 3.42
Sn 0.5000 0.0000 0.6996  8 Sn 3.34-3.40, 4 Nd 3.40-3.41
Sn 0.0000 0.5000 0.3004  8 Sn 3.34-3.40, 4 Nd 3.40-3.41
Sn 0.0000 0.5000 0.5000  8 Sn 3.34-3.40, 4 Nd 3.40
Sn 0.5000 0.5000 0.7995  4 Nd 3.34, 8 Sn 3.40
Sn 0.5000 0.5000 0.4000  4 Nd 3.34, 8 Sn 3.40
Sn 0.5000 0.0000 0.8991  8 Sn 3.34-3.42, 2 Nd 3.39, 2 La 3.42
Nd 0.0000 0.0000 0.2001  12 Sn 3.34-3.41
Nd 0.0000 0.0000 0.4003  12 Sn 3.34-3.40
Nd 0.0000 0.0000 0.5997  12 Sn 3.34-3.40
Nd 0.0000 0.0000 0.7999  12 Sn 3.34-3.41
La 0.0000 0.0000 0.0000  12 Sn 3.34-3.42

Calculated values
DFT formation energy, eV per atom: -0.511

---

Entry 13:
Material: LaZr2Cr
Method: DFT, PBE
State: optimized geometry

Cell: 6.2221 6.2221 5.1940 Å, 65.37 65.37 31.29°
With the nearest neighbours (Å) after each atom.
Fractional coordinates of all 4 atoms:
Zr 0.4695 0.4695 0.5305  2 Cr 2.90, 4 Zr 3.16
Zr 0.0305 0.0305 0.9695  2 Cr 2.90, 4 Zr 3.16
La 0.2500 0.2500 0.2500  4 Cr 3.09, 2 La 3.36
Cr 0.7500 0.7500 0.7500  4 Zr 2.90, 4 La 3.09

Calculated values
DFT formation energy, eV per atom: 0.312

---

Entry 14:
Material: PrDy4Er
Method: DFT, PBE
State: optimized geometry

Cell: 3.5602 9.4364 11.8409 Å, 148.78 90.19 100.75°
With the nearest neighbours (Å) after each atom.
Fractional coordinates of all 6 atoms:
Dy 0.8312 0.6621 0.4987  7 Dy 3.51-3.57, 3 Er 3.54-3.56, 2 Pr 3.59
Dy 0.1688 0.3379 0.5013  7 Dy 3.51-3.57, 3 Er 3.54-3.56, 2 Pr 3.59
Dy 0.3356 0.6718 0.0022  2 Er 3.54-3.55, 7 Dy 3.55-3.61, 3 Pr 3.57-3.58
Dy 0.6644 0.3282 0.9978  2 Er 3.54-3.55, 7 Dy 3.55-3.61, 3 Pr 3.57-3.58
Er 0.0000 0.0000 0.0000  10 Dy 3.54-3.56, 2 Er 3.56
Pr 0.5000 0.0000 0.5000  2 Pr 3.56, 10 Dy 3.57-3.59

Calculated values
DFT formation energy, eV per atom: 0.020

---

Entry 15:
Material: NdCuOs
Method: DFT, PBE
State: optimized geometry

Cell: 3.9004 4.1443 7.8459 Å, 90.00 86.11 90.00°
With the nearest neighbours (Å) after each atom.
Fractional coordinates of all 6 atoms:
Cu 0.2109 0.2500 0.2808  4 Os 2.60-2.72, 2 Nd 2.89
Cu 0.7891 0.7500 0.7192  4 Os 2.60-2.72, 2 Nd 2.89
Nd 0.7550 0.7500 0.1762  1 Os 2.88, 4 Cu 2.89-3.04
Nd 0.2450 0.2500 0.8238  1 Os 2.88, 4 Cu 2.89-3.04
Os 0.6666 0.2500 0.5076  2 Os 2.45, 4 Cu 2.60-2.72
Os 0.3334 0.7500 0.4924  2 Os 2.45, 4 Cu 2.60-2.72

Calculated values
DFT formation energy, eV per atom: 0.093

---

Entry 16:
Material: AcH8PdPt2
Method: DFT, PBE
State: optimized geometry

Cell: 4.3764 4.3764 7.3562 Å, 86.79 86.79 64.66°
With the nearest neighbours (Å) after each atom.
Fractional coordinates of all 12 atoms:
H 0.3496 0.3496 0.5517  1 Pt 1.71
H 0.2546 0.2546 0.0061  1 Pt 1.68
H 0.6504 0.6504 0.4483  1 Pt 1.71
H 0.7353 0.2733 0.8200  1 Pt 1.76, 1 Pd 1.83
H 0.7267 0.2647 0.1800  1 Pt 1.76, 1 Pd 1.83
H 0.2733 0.7353 0.8200  1 Pt 1.76, 1 Pd 1.83
H 0.7454 0.7454 0.9939  1 Pt 1.68
H 0.2647 0.7267 0.1800  1 Pt 1.76, 1 Pd 1.83
Ac 0.0000 0.0000 0.5000  10 H 2.61-2.67
Pd 0.0000 0.0000 0.0000  6 H 1.83-1.89
Pt 0.3218 0.3218 0.7841  4 H 1.68-1.76
Pt 0.6782 0.6782 0.2159  4 H 1.68-1.76

Calculated values
E_tot, eV/atom: -4.22

---

Entry 17:
Material: CsNa2ScBr6
Method: DFT, PBE
State: optimized geometry

Cell: 7.5942 7.5954 8.2400 Å, 62.56 62.57 60.00°
With the nearest neighbours (Å) after each atom.
Fractional coordinates of all 10 atoms:
Na 0.5221 0.5222 0.4337  6 Br 3.02-3.10
Na 0.9978 0.9978 0.0067  6 Br 2.94-3.11
Br 0.2704 0.9584 0.2192  1 Sc 2.69
Br 0.7212 0.1971 0.7630  1 Sc 2.69, 1 Na 2.94
Br 0.5520 0.2704 0.2192  1 Sc 2.69
Br 0.3187 0.7211 0.7631  1 Sc 2.69, 1 Na 2.94
Br 0.9584 0.5520 0.2191  1 Sc 2.69
Br 0.1971 0.3187 0.7630  1 Sc 2.69, 1 Na 2.94
Sc 0.3307 0.3307 0.0079  6 Br 2.69
Cs 0.7932 0.7933 0.6203  3 Br 3.48-3.49

Calculated values
Raw formation energy, kJ/mol of atoms: -159.5

---

Entry 18:
Material: NbINF2
Method: DFT, PBE
State: optimized geometry

Cell: 4.7829 4.7829 4.0755 Å, 90.00 90.00 90.00°
With the nearest neighbours (Å) after each atom.
Fractional coordinates of all 5 atoms:
N 0.0000 0.0000 0.5000  2 I 2.04
F 0.0000 0.5000 0.0000  2 I 2.39
F 0.5000 0.0000 0.0000  2 I 2.39
Nb 0.5000 0.5000 0.5000  8 F 3.14, 4 N 3.38
I 0.0000 0.0000 0.0000  2 N 2.04

Calculated values
Raw formation energy, kJ/mol of atoms: 79.0

---

Entry 19:
Material: HfAl2Au4
Method: DFT, PBE
State: optimized geometry

Cell: 5.2183 5.2183 7.4400 Å, 69.47 69.47 90.00°
With the nearest neighbours (Å) after each atom.
Fractional coordinates of all 7 atoms:
Al 0.3996 0.3996 0.2009  1 Au 2.46, 1 Al 2.60
Al 0.6004 0.6004 0.7991  1 Au 2.46, 1 Al 2.60
Au 0.2088 0.2088 0.5824  1 Al 2.46, 1 Hf 2.70
Au 0.0000 0.5000 0.0000  2 Hf 2.61, 4 Al 2.91
Au 0.5000 0.0000 0.0000  2 Hf 2.61, 4 Al 2.91
Au 0.7912 0.7912 0.4176  1 Al 2.46, 1 Hf 2.70
Hf 0.0000 0.0000 0.0000  6 Au 2.61-2.70

Calculated values
DFT formation energy, eV per atom: 0.288

---

Entry 20:
Material: TaMo2Cl
Method: DFT, PBE
State: optimized geometry

Cell: 3.0847 3.0847 7.5345 Å, 90.00 90.00 90.00°
With the nearest neighbours (Å) after each atom.
Fractional coordinates of all 4 atoms:
Ta 0.0000 0.0000 0.4750  4 Mo 2.79, 4 Cl 2.91, 4 Ta 3.08
Cl 0.5000 0.5000 0.7297  4 Ta 2.91, 4 Cl 3.08
Mo 0.5000 0.5000 0.2441  4 Mo 2.62, 4 Ta 2.79
Mo 0.0000 0.0000 0.0512  4 Mo 2.62

Calculated values
Raw formation energy, kJ/mol of atoms: 22.5